1.
DFT (PBE) results for YNbPb2O6 after structural relaxation.

Geometry as POSCAR:
```
YNbPb2O6
1.0
5.7005 0.9261 -1.2902
1.7055 -4.0750 3.9375
-3.8932 -1.3347 -4.2520
Y Pb O Nb
1 2 6 1
Cartesian
0.0000 0.0000 0.0000 Y
2.7552 -0.9916 -2.1093 Pb
0.7576 -3.4921 0.5045 Pb
0.7741 -1.3678 -3.7927 O
3.8634 -2.6314 -0.3822 O
5.4603 -2.3217 1.9518 O
1.9457 -0.8273 0.6955 O
-0.3506 -1.8523 -1.2225 O
2.7387 -3.1159 2.1880 O
3.7030 -1.5745 1.3236 Nb
```

Summary:
symmetry = I4/m, No. 87

***

2.
DFT (PBE) results for NdHgB4 after structural relaxation.

Geometry as POSCAR:
```
NdHgB4
1.0
-3.0514 -2.5738 3.6020
-0.6837 3.2163 4.2541
-0.9686 -0.6283 -5.2514
B Hg Nd
4 1 1
Cartesian
-2.1580 -0.8632 1.3354 B
-3.6291 -2.0349 0.7319 B
-2.5457 0.8774 1.2693 B
-1.0747 2.0492 1.8728 B
0.0000 0.0000 0.0000 Hg
-1.8676 0.3213 3.9280 Nd
```

Summary:
symmetry = Immm, No. 71

***

3.
DFT (PBE) results for LuCoSbOs after structural relaxation.

Geometry as POSCAR:
```
LuCoSbOs
1.0
-1.7265 -4.1105 1.3702
-2.9508 -0.2047 3.6063
-4.4988 -0.9971 -0.7215
Os Sb Lu Co
1 1 1 1
Cartesian
-4.5880 -2.6561 2.1275 Os
0.0000 0.0000 0.0000 Sb
-2.2940 -1.3281 1.0637 Lu
-6.8821 -3.9841 3.1912 Co
```

Summary:
symmetry = F-43m, No. 216

***

4.
DFT (PBE) results for TmTcAs after structural relaxation.

Geometry as POSCAR:
```
TmTcAs
1.0
0.3889 -4.1790 1.3483
1.1072 -0.8747 4.1764
-2.9819 -1.7126 2.7584
Tm Tc As
1 1 1
Cartesian
-1.1144 -5.0747 6.2123 Tm
-0.3715 -1.6916 2.0708 Tc
0.0000 0.0000 0.0000 As
```

Summary:
symmetry = F-43m, No. 216

***

5.
DFT (PBE) results for Na2Nb after structural relaxation.

Geometry as POSCAR:
```
Na2Nb
1.0
-3.9646 -4.6485 -1.8575
1.5290 0.6168 6.1692
-6.3578 4.9922 1.0766
Nb Na
4 8
Cartesian
-2.8745 -2.3115 0.9435 Nb
-5.9189 3.2720 4.4448 Nb
-4.5712 -0.9792 1.2309 Nb
-4.2222 1.9397 4.1574 Nb
-7.7206 0.0659 0.4291 Na
0.0000 0.0000 0.0000 Na
-1.7565 0.6188 2.2005 Na
-3.1789 2.4961 0.5383 Na
-1.0728 0.8946 4.9592 Na
-7.0369 0.3417 3.1878 Na
-5.9477 2.1446 1.2597 Na
-2.8457 -1.1841 4.1286 Na
```

Summary:
symmetry = P6_3/mmc, No. 194

***

6.
DFT (PBE) results for Zr2In2Cu3Pd after structural relaxation.

Geometry as POSCAR:
```
Zr2In2Cu3Pd
1.0
4.5757 0.0000 0.0000
0.0000 4.5757 0.0000
0.0000 0.0000 6.4842
Cu Pd In Zr
3 1 2 2
Cartesian
0.0000 0.0000 3.2421 Cu
2.2878 2.2878 3.2421 Cu
0.0000 0.0000 0.0000 Cu
2.2878 2.2878 0.0000 Pd
2.2878 0.0000 1.6472 In
0.0000 2.2878 4.8370 In
2.2878 0.0000 4.8385 Zr
0.0000 2.2878 1.6457 Zr
```

Summary:
symmetry = P-4m2, No. 115

***

7.
DFT (PBE) results for LuHfGa after structural relaxation.

Geometry as POSCAR:
```
LuHfGa
1.0
0.8090 -2.6119 3.9517
-3.6524 -1.1731 2.8942
-1.5214 -4.5528 0.2241
Ga Hf Lu
1 1 1
Cartesian
-1.0912 -2.0844 1.7675 Ga
0.0000 0.0000 0.0000 Hf
-3.2736 -6.2533 5.3025 Lu
```

Summary:
symmetry = F-43m, No. 216

***

8.
DFT (PBE) results for NpFeGe after structural relaxation.

Geometry as POSCAR:
```
NpFeGe
1.0
-3.8014 -0.5616 1.9132
-2.4438 3.3968 0.9569
-3.6271 0.7171 -2.1808
Np Fe Ge
1 1 1
Cartesian
-7.4043 2.6643 0.5169 Np
0.0000 0.0000 0.0000 Fe
-2.4681 0.8881 0.1723 Ge
```

Summary:
symmetry = F-43m, No. 216

***

Number 1: uncorrected energy -75.9 eV per cell. Number 2: uncorrected energy -31.2 eV per cell. Number 3: uncorrected energy -25.6 eV per cell. Number 4: uncorrected energy -20.2 eV per cell. Number 5: uncorrected energy -40.4 eV per cell. Number 6: uncorrected energy -41.8 eV per cell. Number 7: uncorrected energy -15.8 eV per cell. Number 8: uncorrected energy -26.0 eV per cell.